First-principles (SCAN) data for a PBEsol-optimized structure of TaCu2Se, as listed in the Alexandria database.

Cell: 8.673 8.673 8.673 Å, 18.99 18.99 18.99°
Atoms (fractional coordinates):
1 Ta 0.000 0.000 0.000
2 Cu 0.248 0.248 0.248
3 Cu 0.752 0.752 0.752
4 Se 0.500 0.500 0.500

Uncorrected formation energy = 313 meV per atom